No. 1
Below is a relaxed AlSnO2F crystal, with properties calculated at the GGA-PBE level.

CIF file:
```
data_AlSnO2F
_space_group_name_H-M_alt 'P 4/m m m'
_space_group_IT_number 123
_space_group_name_Hall '-P 4 2'
_cell_length_a 3.8546
_cell_length_b 3.8546
_cell_length_c 3.8280
_cell_angle_alpha 90.00
_cell_angle_beta 90.00
_cell_angle_gamma 90.00
loop_
_atom_site_label
_atom_site_fract_x
_atom_site_fract_y
_atom_site_fract_z
Al1 0.0000 0.0000 0.0000
Sn1 0.5000 0.5000 0.5000
O1 0.0000 0.5000 0.0000
F1 0.0000 0.0000 0.5000
```

Results
The total magnetization is 0.0 μB per formula unit. Its formation energy (no corrections) is -2.180 eV/atom.

No. 2
Below is a relaxed AlSnO2F crystal, with properties calculated at the GGA-PBE level.

CIF file:
```
data_AlSnO2F
_space_group_name_H-M_alt 'P 4/m m m'
_space_group_IT_number 123
_space_group_name_Hall '-P 4 2'
_cell_length_a 4.0614
_cell_length_b 4.0614
_cell_length_c 4.3435
_cell_angle_alpha 90.00
_cell_angle_beta 90.00
_cell_angle_gamma 90.00
loop_
_atom_site_label
_atom_site_fract_x
_atom_site_fract_y
_atom_site_fract_z
Al1 0.0000 0.0000 0.0000
Sn1 0.5000 0.5000 0.5000
O1 0.0000 0.5000 0.5000
F1 0.5000 0.5000 0.0000
```

Results
The total magnetization is 0.0 μB per formula unit. Its formation energy (no corrections) is -1.170 eV/atom.

No. 3
Below is a relaxed AlSnOF2 crystal, with properties calculated at the GGA-PBE level.

CIF file:
```
data_AlSnOF2
_space_group_name_H-M_alt 'P 4/m m m'
_space_group_IT_number 123
_space_group_name_Hall '-P 4 2'
_cell_length_a 4.5584
_cell_length_b 4.5584
_cell_length_c 4.1579
_cell_angle_alpha 90.00
_cell_angle_beta 90.00
_cell_angle_gamma 90.00
loop_
_atom_site_label
_atom_site_fract_x
_atom_site_fract_y
_atom_site_fract_z
Al1 0.0000 0.0000 0.0000
Sn1 0.5000 0.5000 0.5000
O1 0.5000 0.5000 0.0000
F1 0.0000 0.5000 0.5000
```

Results
The total magnetization is 0.0 μB per formula unit. Its formation energy (no corrections) is -1.366 eV/atom.